Record 1
# Rb2InAgHg

A relaxed structure of Rb2InAgHg (PBE-GGA, the Alexandria database).

POSCAR file:
```
Rb2InAgHg
1.0
-4.776 4.249 2.355
-2.011 -4.735 4.466
3.425 1.886 3.542
Rb Ag In Hg
2 1 1 1
Direct
0.500 0.000 0.000
0.000 0.500 0.000
0.000 0.000 0.000
0.000 0.000 0.500
0.500 0.500 0.500
```

Output
* energy of formation: 39 meV per atom
* V: 48.97 Å³/atom

=====

Record 2
# In2AgHgS4

A relaxed structure of In2AgHgS4 (PBE-GGA, the Alexandria database).

POSCAR file:
```
In2AgHgS4
1.0
5.982 0.233 0.000
-0.264 5.980 0.000
-2.859 -3.107 5.996
Hg Ag S In
1 1 4 2
Direct
0.000 0.000 0.001
0.501 0.501 0.001
0.126 0.126 0.744
0.381 0.874 0.255
0.874 0.381 0.255
0.618 0.618 0.744
0.750 0.250 0.501
0.250 0.750 0.501
```

Output
* V: 26.86 Å³/atom
* uncorrected formation energy: -245 kJ/mol of formula units

=====

Record 3
# InAgHg2S4

A relaxed structure of InAgHg2S4 (PBE-GGA, the Alexandria database).

POSCAR file:
```
InAgHg2S4
1.0
5.956 0.247 0.000
-0.248 5.956 0.000
-2.854 -3.102 5.869
S Hg Ag In
4 2 1 1
Direct
0.625 0.625 0.759
0.134 0.134 0.759
0.866 0.375 0.241
0.375 0.866 0.241
0.250 0.750 0.500
0.750 0.250 0.500
0.000 0.000 0.000
0.500 0.500 0.000
```

Output
* V: 26.07 Å³/atom
* uncorrected formation energy: -215 kJ/mol of formula units

=====

Record 4
# InAg2HgS4

A relaxed structure of InAg2HgS4 (PBE-GGA, the Alexandria database).

POSCAR file:
```
InAg2HgS4
1.0
5.788 0.241 0.000
-0.240 5.788 0.000
-2.774 -3.014 5.977
In S Hg Ag
1 4 1 2
Direct
0.500 0.500 0.000
0.382 0.871 0.253
0.130 0.130 0.748
0.871 0.382 0.253
0.618 0.618 0.748
0.000 0.000 0.000
0.250 0.750 0.500
0.750 0.250 0.500
```

Output
* V: 25.07 Å³/atom
* uncorrected formation energy: -154 kJ/mol of formula units

=====

Record 5
# In2Ag7HgSb2

A relaxed structure of In2Ag7HgSb2 (PBE-GGA, the Alexandria database).

POSCAR file:
```
In2Ag7HgSb2
1.0
4.371 -0.031 0.383
-0.026 4.371 0.383
3.266 3.262 14.092
Ag Hg In Sb
7 1 2 2
Direct
0.756 0.756 0.500
0.500 0.500 0.000
0.244 0.244 0.500
0.653 0.154 0.848
0.154 0.653 0.848
0.846 0.347 0.152
0.347 0.846 0.152
0.000 0.000 0.000
0.185 0.185 0.315
0.815 0.815 0.685
0.315 0.315 0.686
0.685 0.685 0.314
```

Output
* V: 21.52 Å³/atom
* uncorrected formation energy: 86 kJ/mol of formula units

=====

Record 6
# In2AgHgSe4

A relaxed structure of In2AgHgSe4 (PBE-GGA, the Alexandria database).

POSCAR file:
```
In2AgHgSe4
1.0
-2.447 5.595 -1.490
-3.649 -2.802 -4.282
-1.379 -2.190 7.177
Hg In Se Ag
1 2 4 1
Direct
0.001 0.001 0.002
0.751 0.251 0.502
0.251 0.751 0.502
0.128 0.128 0.748
0.621 0.621 0.748
0.379 0.871 0.249
0.871 0.379 0.249
0.500 0.500 0.000
```

Output
* V: 30.70 Å³/atom
* uncorrected formation energy: -266 kJ/mol of formula units

=====

Record 7
# Sm4InAg2Hg

A relaxed structure of Sm4InAg2Hg (PBE-GGA, the Alexandria database).

POSCAR file:
```
Sm4InAg2Hg
1.0
5.329 0.000 0.000
2.664 4.615 0.000
2.664 1.538 8.706
Sm Ag In Hg
4 2 1 1
Direct
0.623 0.623 0.131
0.127 0.127 0.619
0.377 0.377 0.869
0.873 0.873 0.381
0.746 0.746 0.761
0.254 0.254 0.239
0.000 0.000 0.000
0.500 0.500 0.500
```

Output
* energy of formation: -376 meV per atom
* V: 26.76 Å³/atom

=====

Record 8
# SmInAgHg

A relaxed structure of SmInAgHg (PBE-GGA, the Alexandria database).

POSCAR file:
```
SmInAgHg
1.0
5.109 0.000 0.000
2.555 4.425 0.000
2.555 1.475 4.172
In Hg Sm Ag
1 1 1 1
Direct
0.500 0.500 0.500
0.750 0.750 0.750
0.000 0.000 0.000
0.250 0.250 0.250
```

Output
* energy of formation: -369 meV per atom
* V: 23.58 Å³/atom

=====

Record 9
# In2AgSnHg

A relaxed structure of In2AgSnHg (PBE-GGA, the Alexandria database).

POSCAR file:
```
In2AgSnHg
1.0
-4.177 0.308 -3.947
1.849 -4.634 -2.319
-3.454 -3.087 3.414
In Hg Sn Ag
2 1 1 1
Direct
0.500 0.000 0.000
0.000 0.000 0.500
0.000 0.500 0.000
0.000 0.000 0.000
0.500 0.500 0.500
```

Output
* energy of formation: 508 meV per atom
* V: 36.44 Å³/atom

=====

Record 10
# In6AgSnHg2

A relaxed structure of In6AgSnHg2 (PBE-GGA, the Alexandria database).

POSCAR file:
```
In6AgSnHg2
1.0
-8.552 0.636 1.960
-1.720 0.246 8.018
-2.682 4.263 3.450
In Hg Sn Ag
6 2 1 1
Direct
0.171 0.390 0.678
0.386 0.782 0.802
0.660 0.270 0.165
0.193 0.932 0.307
0.638 0.076 0.842
0.948 0.539 0.209
0.532 0.581 0.410
0.997 0.037 0.831
0.818 0.751 0.608
0.318 0.302 0.164
```

Output
* energy of formation: 31 meV per atom
* V: 26.21 Å³/atom

=====

Record 11
# Sr2InAg4Hg3

A relaxed structure of Sr2InAg4Hg3 (PBE-GGA, the Alexandria database).

POSCAR file:
```
Sr2InAg4Hg3
1.0
-0.427 -0.073 -4.400
-3.310 -2.907 0.369
-8.619 9.900 0.672
In Hg Sr Ag
1 3 2 4
Direct
0.500 0.500 0.500
0.000 0.500 0.143
0.000 0.000 0.500
0.500 0.000 0.857
0.000 0.500 0.746
0.500 0.000 0.254
0.000 0.500 0.356
0.500 0.000 0.644
0.000 0.000 0.000
0.500 0.500 0.000
```

Output
* energy of formation: -236 meV per atom
* V: 25.69 Å³/atom

=====

Record 12
# Sr2InAg6Hg

A relaxed structure of Sr2InAg6Hg (PBE-GGA, the Alexandria database).

POSCAR file:
```
Sr2InAg6Hg
1.0
-5.530 4.672 -1.772
-1.928 0.443 7.186
-0.469 6.651 3.330
Ag In Sr Hg
6 1 2 1
Direct
0.751 0.751 0.498
0.249 0.249 0.000
0.751 0.249 0.000
0.751 0.751 0.000
0.249 0.751 0.000
0.249 0.249 0.502
0.000 0.000 0.000
0.750 0.250 0.500
0.250 0.750 0.500
0.500 0.500 0.000
```

Output
* energy of formation: 73 meV per atom
* V: 29.27 Å³/atom